Record 1
## CsAgTe2 (GGA-PBE)

Data for a relaxed structure of CsAgTe2.

Structure (POSCAR):
```
CsAgTe2
1.0
-1.1111 7.1617 -4.0801
-7.6517 -2.4267 -2.1758
-6.1046 4.3150 0.7598
Cs Te Ag
2 4 2
Cartesian
-9.6243 5.7088 -4.3120
-5.2430 3.3413 -1.1841
-3.8030 5.3356 -4.3585
-4.9598 -0.6006 -1.8974
-1.4019 2.3401 -1.7936
-7.3609 2.3949 -4.4623
-5.7985 6.9221 -3.2241
-9.0688 2.1279 -2.2720
```

E_form (uncorrected), eV per formula unit: -1.64
SG: I4/mcm, No. 140


Record 2
## CsAgTe2 (GGA-PBE)

Data for a relaxed structure of CsAgTe2.

Structure (POSCAR):
```
CsAgTe2
1.0
13.0163 0.0000 -3.9603
3.9554 5.3730 -3.4258
-3.9554 5.3730 3.4258
Cs Te Ag
2 4 2
Cartesian
3.2646 1.6165 -0.9652
9.7728 3.7565 -2.9453
0.6135 3.9903 0.1790
7.1217 1.3827 -1.8011
5.9135 3.9920 -2.1091
12.4217 1.3811 -4.0892
3.2557 5.9318 -0.9653
9.7638 10.1873 -2.9454
```

E_form (uncorrected), eV per formula unit: -1.94
SG: Cc, No. 9


Record 3
## CsAgTe2 (GGA-PBE)

Data for a relaxed structure of CsAgTe2.

Structure (POSCAR):
```
CsAgTe2
1.0
-4.7488 2.9590 1.2625
-2.1797 -5.3057 0.1647
-1.3039 -0.8832 11.6929
Cs Ag Te
2 2 4
Cartesian
-2.3487 -1.2962 10.8903
-5.7723 0.0485 6.0287
-5.1515 -3.2768 8.5439
-3.4079 -0.1820 2.6146
-3.9665 -4.7169 6.6642
-4.0959 -2.2576 1.1214
-4.9002 -3.4134 4.2737
-6.3327 -1.8360 10.4245
```

E_form (uncorrected), eV per formula unit: -1.87
SG: C2/c, No. 15


Record 4
## CsAgTe3 (GGA-PBE)

Data for a relaxed structure of CsAgTe3.

Structure (POSCAR):
```
CsAgTe3
1.0
-0.0484 5.0495 2.4960
-2.4407 -2.2684 4.5417
5.0764 -1.0425 2.2074
Cs Te Ag
1 3 1
Cartesian
1.2936 0.8693 4.6226
-1.2204 -1.1342 2.2708
2.5382 -0.5212 1.1037
-0.0242 2.5247 1.2480
0.0000 0.0000 0.0000
```

E_form (uncorrected), eV per formula unit: -0.55
SG: Pm-3m, No. 221


Record 5
## Cs3Ag2Te3 (GGA-PBE)

Data for a relaxed structure of Cs3Ag2Te3.

Structure (POSCAR):
```
Cs3Ag2Te3
1.0
4.6664 0.0000 0.0000
-2.3332 7.1223 0.0000
0.0000 0.0000 21.0310
Cs Ag Te
6 4 6
Cartesian
2.3332 5.3875 8.9941
0.0000 1.7347 19.5096
2.3332 5.3875 1.5214
0.0000 1.7347 12.0370
2.3332 0.5084 5.2578
0.0000 6.6139 15.7733
2.3332 4.7802 18.1488
0.0000 2.3421 7.6333
2.3332 4.7802 13.3977
0.0000 2.3421 2.8822
2.3332 1.5219 8.8840
0.0000 5.6004 19.3996
2.3332 1.5219 1.6315
0.0000 5.6004 12.1470
0.0000 3.7341 5.2578
2.3332 3.3881 15.7733
```

E_form (uncorrected), eV per formula unit: -5.19
SG: Cmcm, No. 63


Record 6
## CsAg3Te3 (GGA-PBE)

Data for a relaxed structure of CsAg3Te3.

Structure (POSCAR):
```
CsAg3Te3
1.0
-4.5457 -4.7649 -4.3117
4.1816 -6.2036 2.4471
-4.8795 -0.8774 6.1139
Cs Te Ag
2 6 6
Cartesian
-2.6218 -5.9230 2.1246
0.0000 0.0000 0.0000
-1.3944 -1.9896 3.6687
0.6965 -5.0914 4.8923
-5.9325 -3.0405 2.4296
-1.3185 -6.6755 -2.0102
-3.4928 -2.6018 -0.6274
0.9544 -4.2931 0.1456
-3.5762 -1.6299 1.9790
0.8709 -3.3212 2.7520
0.8633 -7.0352 -0.3205
-5.8491 -4.0124 -0.1768
-1.5688 -3.7598 5.8090
-1.2275 -3.9334 -1.5441
```

E_form (uncorrected), eV per formula unit: -2.17
SG: Pm-3n, No. 223


Record 7
## CsAgTe2 (GGA-PBE)

Data for a relaxed structure of CsAgTe2.

Structure (POSCAR):
```
CsAgTe2
1.0
7.6806 0.0065 -0.0596
-0.6595 6.5897 0.0038
0.7131 -2.3602 6.1443
Cs Te Ag
2 4 2
Cartesian
1.7027 -0.4817 2.7094
4.0772 3.3648 0.0622
1.2541 2.5790 5.1346
0.1770 2.6137 0.5995
5.6035 0.2695 2.1716
4.5808 4.5336 3.7845
6.7426 2.7154 3.1994
7.4333 -2.1861 5.6565
```

E_form (uncorrected), eV per formula unit: -2.06
SG: P-1, No. 2


Record 8
## Cs3Ag2Te4 (GGA-PBE)

Data for a relaxed structure of Cs3Ag2Te4.

Structure (POSCAR):
```
Cs3Ag2Te4
1.0
4.8955 0.0000 0.0000
0.0000 8.4789 -0.1359
-2.4478 -4.3500 9.2839
Cs Ag Te
3 2 4
Cartesian
2.4478 0.6292 6.5019
0.0000 3.4997 2.6460
0.0000 0.0000 0.0000
0.0000 -2.4269 5.9220
2.4478 6.5558 3.2260
0.0000 -1.4141 8.6936
2.4478 4.6755 5.4395
2.4478 5.5429 0.4543
0.0000 -0.5467 3.7085
```

E_form (uncorrected), eV per formula unit: -5.36
SG: C2/m, No. 12